A relaxed BeNb2Ag2 crystal. Source: the Alexandria database, functional GGA-PBEsol. Values from VASP.

- Calculated volume: 90 Å³/f.u.
- Symmetry: No. 139
- Energy: -0.2079 Ha/atom

Cell and atoms, written as Quantum ESPRESSO input:
```
&SYSTEM
  ibrav = 0, nat = 5, ntyp = 3
/
ATOMIC_SPECIES
Be 9.01 Be.upf
Nb 92.91 Nb.upf
Ag 107.87 Ag.upf
ATOMIC_POSITIONS crystal
Be 0.000 0.000 0.000
Nb 0.419 0.419 0.000
Nb 0.581 0.581 0.000
Ag 0.250 0.750 0.500
Ag 0.750 0.250 0.500
CELL_PARAMETERS angstrom
-1.803 1.803 6.905
1.803 -1.803 6.905
1.803 1.803 -6.905
```